Entry one
Crystalline HoErZnCu at its relaxed geometry, computed with GGA-PBE.

a b c (Å): 3.489 3.489 7.007
angles (deg): 90.00 90.00 90.00
Space group P4mm (No. 99)
One atom of each set of equivalent atoms:
Ho (0.000, 0.000, 0.000)
Er (0.000, 0.000, 0.514)
Zn (0.500, 0.500, 0.259)
Cu (0.500, 0.500, 0.755)

=====

Entry two
Crystalline HoErZnCu at its relaxed geometry, computed with GGA-PBE.

a b c (Å): 6.985 6.985 6.985
angles (deg): 90.00 90.00 90.00
Space group F-43m (No. 216)
One atom of each set of equivalent atoms:
Ho (0.000, 0.000, 0.000)
Er (0.000, 0.000, 0.500)
Zn (0.250, 0.250, 0.750)
Cu (0.250, 0.250, 0.250)

=====

Verdict on stability: entry two comes out at the bottom.

=====

Entry one
Crystalline Er2In3Cu at its relaxed geometry, computed with GGA-PBE.

a b c (Å): 4.7141 4.7141 7.3864
angles (deg): 90.00 90.00 120.00
Space group P3m1 (No. 156)
One atom of each set of equivalent atoms:
Er (0.0000, 0.0000, 0.0000)
Er (0.0000, 0.0000, 0.4594)
In (0.3333, 0.6667, 0.2193)
In (0.3333, 0.6667, 0.7890)
In (0.6667, 0.3333, 0.6699)
Cu (0.6667, 0.3333, 0.2820)

=====

Entry two
Crystalline Er2In3Cu at its relaxed geometry, computed with GGA-PBE.

a b c (Å): 3.553 4.754 8.315
angles (deg): 90.00 90.00 90.00
Space group Pmm2 (No. 25)
One atom of each set of equivalent atoms:
Er (0.000, 0.000, 0.000)
Er (0.000, 0.500, 0.477)
In (0.500, 0.000, 0.630)
In (0.500, 0.500, 0.168)
In (0.500, 0.500, 0.823)
Cu (0.500, 0.000, 0.312)

=====

Verdict on stability: entry two comes out at the bottom.